1.
# BiI3 PBE relaxed
# Magnetization ... 0.00 μB/atom
# Formation energy without anion corrections ... -244.6 meV per atom
# Calculated volume ... 375.7 Å³ per cell
data_BiI3
_cell_length_a 10.961
_cell_length_b 10.961
_cell_length_c 8.358
_cell_angle_alpha 49.02
_cell_angle_beta 49.02
_cell_angle_gamma 90.00
_space_group_name_H-M_alt 'P 1'
_space_group_IT_number 1
loop_
_space_group_symop_operation_xyz
'x,y,z'
loop_
_atom_site_label
_atom_site_type_symbol
_atom_site_fract_x
_atom_site_fract_y
_atom_site_fract_z
_atom_site_occupancy
I1 I 0.500 0.500 0.000 1
I2 I 0.250 0.750 0.500 1
I3 I 0.751 0.125 0.250 1
I4 I 0.999 0.625 0.250 1
I5 I 0.375 0.249 0.750 1
I6 I 0.875 0.001 0.750 1
Bi1 Bi 0.000 0.000 0.000 1
Bi2 Bi 0.750 0.250 0.500 1


2.
# Ca2MgTl6 PBE relaxed
# Magnetization ... 0.00 μB/atom
# E above lowest polymorph ... 0 meV/atom
# Energy relative to the elements ... -0.15 eV/atom
# Calculated volume ... 531.7 Å³ per cell
data_Ca2MgTl6
_cell_length_a 7.791
_cell_length_b 6.831
_cell_length_c 10.096
_cell_angle_alpha 90.00
_cell_angle_beta 81.73
_cell_angle_gamma 90.00
_space_group_name_H-M_alt 'P 1'
_space_group_IT_number 1
loop_
_space_group_symop_operation_xyz
'x,y,z'
loop_
_atom_site_label
_atom_site_type_symbol
_atom_site_fract_x
_atom_site_fract_y
_atom_site_fract_z
_atom_site_occupancy
Ca1 Ca 0.970 0.501 0.709 1
Ca2 Ca 0.530 0.001 0.791 1
Ca3 Ca 0.470 0.999 0.209 1
Ca4 Ca 0.030 0.499 0.291 1
Mg1 Mg 0.500 0.500 0.000 1
Mg2 Mg 0.000 0.000 0.500 1
Tl1 Tl 0.912 0.999 0.230 1
Tl2 Tl 0.699 0.744 0.517 1
Tl3 Tl 0.800 0.758 0.982 1
Tl4 Tl 0.700 0.258 0.518 1
Tl5 Tl 0.801 0.244 0.983 1
Tl6 Tl 0.588 0.499 0.270 1
Tl7 Tl 0.088 0.001 0.770 1
Tl8 Tl 0.301 0.256 0.483 1
Tl9 Tl 0.200 0.242 0.018 1
Tl10 Tl 0.300 0.742 0.482 1
Tl11 Tl 0.199 0.756 0.017 1
Tl12 Tl 0.412 0.501 0.730 1


3.
# NiAs2Br PBE relaxed
# Magnetization ... 0.18 μB/atom
# Formation energy without anion corrections ... 460.7 meV per atom
# E above lowest polymorph ... 639 meV/atom
# Calculated volume ... 97.3 Å³ per cell
data_NiAs2Br
_cell_length_a 7.573
_cell_length_b 3.585
_cell_length_c 3.585
_cell_angle_alpha 90.00
_cell_angle_beta 90.00
_cell_angle_gamma 90.00
_space_group_name_H-M_alt 'P 1'
_space_group_IT_number 1
loop_
_space_group_symop_operation_xyz
'x,y,z'
loop_
_atom_site_label
_atom_site_type_symbol
_atom_site_fract_x
_atom_site_fract_y
_atom_site_fract_z
_atom_site_occupancy
As1 As 0.000 0.000 0.000 1
As2 As 0.000 0.500 0.500 1
Br1 Br 0.500 0.500 0.000 1
Ni1 Ni 0.500 0.000 0.500 1